[1]
VASP calculation (PBE) on crystalline ZnRePtBr2 at its relaxed geometry.

Cell lengths 4.8606, 4.8606, 5.1961 Å; angles 90.00, 90.00, 90.00 degrees
Closest atoms and distances in Å follow each position.
Positions (direct):
Zn 0.0000 0.0000 0.0000  4 Br 2.43, 2 Pt 2.60
Re 0.5000 0.5000 0.5000  4 Pt 3.44, 8 Br 3.56
Pt 0.0000 0.0000 0.5000  2 Zn 2.60
Br 0.0000 0.5000 0.0000  2 Zn 2.43
Br 0.5000 0.0000 0.0000  2 Zn 2.43


[2]
VASP calculation (PBE) on crystalline PtRhBr6 at its relaxed geometry.

Cell lengths 6.6038, 6.6038, 6.4508 Å; angles 99.59, 99.59, 121.53 degrees
Closest atoms and distances in Å follow each position.
Positions (direct):
Pt 0.0000 0.0000 0.0000  6 Br 2.50-2.70
Rh 0.5000 0.5000 0.5000  6 Br 2.51-2.58
Br 0.1026 0.3945 0.2494  1 Pt 2.50, 1 Rh 2.51
Br 0.2556 0.2556 0.7448  1 Rh 2.58, 1 Pt 2.70
Br 0.3945 0.1026 0.2494  1 Pt 2.50, 1 Rh 2.51
Br 0.6055 0.8974 0.7506  1 Pt 2.50, 1 Rh 2.51
Br 0.7444 0.7444 0.2552  1 Rh 2.58, 1 Pt 2.70
Br 0.8974 0.6055 0.7506  1 Pt 2.50, 1 Rh 2.51


[3]
VASP calculation (PBE) on crystalline PtRhBr3 at its relaxed geometry.

Calculated values
The calculation puts the energy relative to the lowest polymorph listed for this composition at 0 meV/atom.

Cell lengths 5.1329, 5.1329, 5.1329 Å; angles 90.00, 90.00, 90.00 degrees
Closest atoms and distances in Å follow each position.
Positions (direct):
Pt 0.0000 0.0000 0.0000  6 Br 2.57
Rh 0.5000 0.5000 0.5000  12 Br 3.63
Br 0.0000 0.0000 0.5000  2 Pt 2.57
Br 0.0000 0.5000 0.0000  2 Pt 2.57
Br 0.5000 0.0000 0.0000  2 Pt 2.57


Number 1: D(E_F) 1.3 states/eV/cell, total magnetic moment 5.0 μB per formula unit, E_form (uncorrected) 1329 meV per atom. Number 2: D(E_F) 2.1 states/eV/cell, total magnetic moment 0.0 μB per formula unit, E_form (uncorrected) -232 meV per atom. Number 3: D(E_F) 9.6 states/eV/cell, total magnetic moment 2.0 μB per formula unit, E_form (uncorrected) 668 meV per atom.